(1)
Below is an optimized crystal structure of LiBeCrGe2, with properties calculated at the PBE level.

Summary:
As for the formation enthalpy at 0 K: 1.102 eV per atom.

Lattice parameters (Å, degrees): 4.3266 3.8651 4.3266 90.00 90.00 90.00
Sites, in units of the cell vectors:
Cr: 0.5000 0.5000 0.5000
Li: 0.0000 0.0000 0.0000
Ge: 0.0000 0.0000 0.5000
Ge: 0.5000 0.0000 0.0000
Be: 0.0000 0.5000 0.0000

(2)
Below is an optimized crystal structure of MnBeCrGe2, with properties calculated at the PBE level.

Summary:
As for the formation enthalpy at 0 K: 0.684 eV per atom.

Lattice parameters (Å, degrees): 4.5544 4.2353 4.5544 90.00 90.00 90.00
Each line ends with the local moment (μB).
Sites, in units of the cell vectors:
Mn: 0.5000 0.5000 0.5000  -4.19
Cr: 0.0000 0.0000 0.0000  -0.90
Ge: 0.0000 0.0000 0.5000  0.01
Ge: 0.5000 0.0000 0.0000  0.04
Be: 0.0000 0.5000 0.0000  0.02

(3)
Below is an optimized crystal structure of BeNb2CrGe, with properties calculated at the PBE level.

Summary:
As for the formation enthalpy at 0 K: 0.873 eV per atom.

Lattice parameters (Å, degrees): 4.5969 4.0818 4.5969 90.00 90.00 90.00
Sites, in units of the cell vectors:
Nb: 0.0000 0.0000 0.5000
Nb: 0.5000 0.0000 0.0000
Cr: 0.0000 0.0000 0.0000
Be: 0.0000 0.5000 0.0000
Ge: 0.5000 0.5000 0.5000